VASP calculation (PBE) on a geometry-optimized BP2O6F structure.

a b c (Å): 6.839 6.839 5.117
angles (deg): 107.51 107.51 98.01
Positions (direct):
B1 0.219 0.781 0.750
B2 0.781 0.219 0.250
P1 0.189 0.351 0.628
P2 0.351 0.189 0.128
P3 0.649 0.811 0.872
P4 0.811 0.649 0.372
O1 0.051 0.773 0.486
O2 0.179 0.576 0.794
O3 0.216 0.284 0.315
O4 0.227 0.949 0.014
O5 0.284 0.216 0.815
O6 0.424 0.821 0.706
O7 0.576 0.179 0.294
O8 0.716 0.784 0.185
O9 0.773 0.051 0.986
O10 0.784 0.716 0.685
O11 0.821 0.424 0.206
O12 0.949 0.227 0.514
F1 0.494 0.506 0.250
F2 0.506 0.494 0.750

N(E_F)	0.0000	states/eV per atom
magnetic moment	0.000	Bohr magnetons per cell
formation energy without anion corrections	-192	kJ/mol of atoms